Al3Co3Si4: single point on PBEsol structure, SCAN.

```
Al3Co3Si4
1.0
-4.016 4.016 4.016
4.016 -4.016 4.016
4.016 4.016 -4.016
Al Co Si
6 6 8
direct
0.250 0.500 0.750 Al
0.250 0.750 0.500 Al
0.500 0.250 0.750 Al
0.500 0.750 0.250 Al
0.750 0.250 0.500 Al
0.750 0.500 0.250 Al
0.000 0.335 0.335 Co
0.000 0.665 0.665 Co
0.335 0.000 0.335 Co
0.335 0.335 0.000 Co
0.665 0.000 0.665 Co
0.665 0.665 0.000 Co
0.000 0.000 0.323 Si
0.000 0.000 0.677 Si
0.000 0.323 0.000 Si
0.000 0.677 0.000 Si
0.323 0.000 0.000 Si
0.323 0.323 0.323 Si
0.677 0.000 0.000 Si
0.677 0.677 0.677 Si
```

Summary:
raw formation energy	-0.405	eV per atom
VASP energy	-11.928	eV per atom
Fermi-level density of states	5.6	states/eV per cell

=====

AlCo2Si2: single point on PBEsol structure, SCAN.

```
AlCo2Si2
1.0
3.890 0.000 0.000
-1.945 3.369 0.000
0.000 0.000 4.588
Al Co Si
1 2 2
direct
0.000 0.000 0.000 Al
0.333 0.667 0.838 Co
0.667 0.333 0.162 Co
0.333 0.667 0.348 Si
0.667 0.333 0.652 Si
```

Summary:
raw formation energy	-0.493	eV per atom
VASP energy	-12.971	eV per atom
Fermi-level density of states	1.6	states/eV per cell

=====

Al2Co2Si: single point on PBEsol structure, SCAN.

```
Al2Co2Si
1.0
3.856 0.000 0.000
-1.928 3.339 0.000
0.000 0.000 4.907
Al Co Si
2 2 1
direct
0.333 0.667 0.356 Al
0.667 0.333 0.644 Al
0.333 0.667 0.862 Co
0.667 0.333 0.138 Co
0.000 0.000 0.000 Si
```

Summary:
raw formation energy	-0.504	eV per atom
VASP energy	-12.529	eV per atom
Fermi-level density of states	3.3	states/eV per cell

=====

Number 3 is which compound?
Al2Co2Si

=====

Which value of raw formation energy does entry 1 give?
-0.405 eV per atom

=====

Look up the Fermi-level density of states of the third one.
3.3 states/eV per cell

=====

Number 2 is which compound?
AlCo2Si2